1.
Ca2ZnRh at its PBEsol-relaxed geometry. Source: Alexandria, functional SCAN.

POSCAR file:
```
Ca2ZnRh
1.0
-2.1482 2.1482 4.3502
2.1482 -2.1482 4.3502
2.1482 2.1482 -4.3502
Ca Zn Rh
2 1 1
Direct
0.0000 0.0000 0.0000
0.7500 0.2500 0.5000
0.2500 0.7500 0.5000
0.5000 0.5000 0.0000
```

Computed properties:
E_form	-0.190	eV per atom
total magnetization	0.000	μB per atom
electronic total energy	-67.38	eV per cell
N(E_F)	1.83	states/eV/f.u.

=====

2.
CaZn2Rh at its PBEsol-relaxed geometry. Source: Alexandria, functional SCAN.

POSCAR file:
```
CaZn2Rh
1.0
3.9785 0.0000 0.0000
0.0000 3.9785 0.0000
0.0000 0.0000 4.2000
Ca Zn Rh
1 2 1
Direct
0.0000 0.0000 0.0000
0.0000 0.5000 0.5000
0.5000 0.0000 0.5000
0.5000 0.5000 0.0000
```

Computed properties:
E_form	-0.172	eV per atom
total magnetization	0.000	μB per atom
electronic total energy	-71.15	eV per cell
N(E_F)	2.38	states/eV/f.u.

=====

Question: Among the records above, which one has the highest E_form?
Answer: CaZn2Rh

=====

Question: The lowest N(E_F) belongs to which entry?
Answer: Ca2ZnRh

=====

Question: electronic total energy of number 2 (CaZn2Rh)?
Answer: -71.15 eV per cell

=====

Question: Which of these has the highest N(E_F)?
Answer: CaZn2Rh